1.
TiInHg2Pt: relaxed, PBE.

abc: 5.236 5.236 5.005
angles: 90.00 90.00 90.00
Fractional positions:
Ti (0.000, 0.000, 0.000)
In (0.500, 0.500, 0.500)
Hg (0.000, 0.500, 0.500)
Hg (0.500, 0.000, 0.500)
Pt (0.500, 0.500, 0.000)

Properties
E_form   0.956 eV/atom



2.
CaLaNi2P2: relaxed, PBE.

abc: 3.953 3.953 8.248
angles: 90.00 90.00 120.00
Fractional positions:
Ca (0.000, 0.000, 0.000)
La (0.000, 0.000, 0.500)
Ni (0.333, 0.667, 0.248)
Ni (0.667, 0.333, 0.752)
P (0.333, 0.667, 0.754)
P (0.667, 0.333, 0.246)

Properties
E_form   -1.059 eV/atom



3.
SrThNi10: relaxed, PBE.

abc: 3.972 5.009 8.645
angles: 90.00 90.00 90.00
Fractional positions:
Sr (0.000, 0.000, 0.000)
Th (0.000, 0.500, 0.500)
Ni (0.000, 0.000, 0.339)
Ni (0.000, 0.000, 0.661)
Ni (0.000, 0.500, 0.175)
Ni (0.000, 0.500, 0.825)
Ni (0.500, 0.000, 0.500)
Ni (0.500, 0.254, 0.257)
Ni (0.500, 0.254, 0.743)
Ni (0.500, 0.500, 0.000)
Ni (0.500, 0.746, 0.257)
Ni (0.500, 0.746, 0.743)

Properties
E_form   -0.218 eV/atom



4.
BeRu2Br: relaxed, PBE.

abc: 6.369 6.369 6.369
angles: 131.37 131.37 71.22
Fractional positions:
Be (0.000, 0.000, 0.000)
Be (0.750, 0.250, 0.500)
Ru (0.083, 0.625, 0.958)
Ru (0.375, 0.333, 0.458)
Ru (0.667, 0.125, 0.042)
Ru (0.875, 0.917, 0.542)
Br (0.250, 0.750, 0.500)
Br (0.500, 0.500, 0.000)

Properties
Energy above the lowest structure with this stoichiometry   677 meV/atom
Formation energy without anion corrections   3.991 eV per formula unit



5.
Ni5Rh: relaxed, PBE.

abc: 5.621 5.621 5.092
angles: 103.03 103.03 26.42
Fractional positions:
Ni (0.000, 0.000, 0.000)
Ni (0.330, 0.330, 0.670)
Ni (0.332, 0.332, 0.161)
Ni (0.668, 0.668, 0.839)
Ni (0.670, 0.670, 0.330)
Rh (0.000, 0.000, 0.500)

Properties
E_form   0.029 eV/atom



6.
Tl2AsI4: relaxed, PBE.

abc: 7.388 7.388 7.388
angles: 111.76 111.76 104.99
Fractional positions:
Tl (0.250, 0.750, 0.500)
Tl (0.750, 0.250, 0.500)
As (0.000, 0.000, 0.000)
I (0.244, 0.244, 0.488)
I (0.244, 0.756, 0.000)
I (0.756, 0.244, 0.000)
I (0.756, 0.756, 0.512)

Properties
Energy above the lowest structure with this stoichiometry   0 meV/atom
Formation energy without anion corrections   -2.330 eV per formula unit